Hf6Al5Sn | PBE | relaxed

Cell: 7.3259 7.4385 5.9543 Å, 51.34 84.69 81.48°
Fractional positions:
Sn  0.0000  0.0000  0.0000
Hf  0.7515  0.7402  0.0000
Hf  0.2599  0.9123  0.6599
Hf  0.2485  0.2598  0.0000
Hf  0.2599  0.5722  0.3401
Hf  0.7401  0.4278  0.6599
Hf  0.7401  0.0877  0.3401
Al  0.5000  0.8449  0.3102
Al  0.0000  0.3299  0.3401
Al  0.5000  0.5000  0.0000
Al  0.0000  0.6701  0.6599
Al  0.5000  0.1551  0.6898

**Calculated volume**: 20.88 Å³ per atom
**Formation enthalpy at 0 K**: -25 meV per atom
**Symmetry**: C2/m, No. 12


SmYRuRh | PBE | relaxed

Cell: 3.4551 3.4551 6.8908 Å, 90.00 90.00 90.00°
Fractional positions:
Rh  0.5000  0.5000  0.6037
Y  0.0000  0.0000  0.3534
Sm  0.0000  0.0000  0.8612
Ru  0.5000  0.5000  0.1097

**Calculated volume**: 20.56 Å³ per atom
**Formation enthalpy at 0 K**: -529 meV per atom
**Symmetry**: P4mm, No. 99


La2BeHg | PBE | relaxed

Cell: 5.3636 5.3636 5.3636 Å, 60.00 60.00 60.00°
Fractional positions:
Be  0.0000  0.0000  0.0000
La  0.2500  0.2500  0.2500
La  0.7500  0.7500  0.7500
Hg  0.5000  0.5000  0.5000

**Calculated volume**: 27.28 Å³ per atom
**Formation enthalpy at 0 K**: -73 meV per atom
**Symmetry**: Fm-3m, No. 225


Ac2ZnPt9 | PBE | relaxed

Cell: 5.5313 5.5313 9.5109 Å, 73.09 73.09 60.00°
Fractional positions:
Zn  0.0000  0.0000  0.0000
Pt  0.3323  0.3323  0.0031
Pt  0.5839  0.5839  0.7536
Pt  0.5839  0.0787  0.7536
Pt  0.5000  0.5000  0.5000
Pt  0.4161  0.9213  0.2464
Pt  0.6677  0.6677  0.9969
Pt  0.0787  0.5839  0.7536
Pt  0.9213  0.4161  0.2464
Pt  0.4161  0.4161  0.2464
Ac  0.8653  0.8653  0.4040
Ac  0.1347  0.1347  0.5960

**Calculated volume**: 19.78 Å³ per atom
**Formation enthalpy at 0 K**: -558 meV per atom
**Symmetry**: R-3m, No. 166


FePt2Pb | PBE | relaxed

Cell: 5.0467 5.0467 5.0467 Å, 132.69 132.59 69.22°
Site moments in Bohr magnetons follow the coordinates.
Fractional positions:
Fe  0.2500  0.7500  0.5000  2.99
Pt  0.4997  0.4997  0.0000  0.17
Pt  0.0003  0.0003  0.0000  0.17
Pb  0.7500  0.2500  0.5000  -0.02

**Calculated volume**: 17.06 Å³ per atom
**Formation enthalpy at 0 K**: 64 meV per atom
**Symmetry**: I4/mmm, No. 139


TaPt2Au | PBE | relaxed

Cell: 2.9159 3.9286 5.7900 Å, 90.00 90.00 90.00°
Fractional positions:
Au  0.5000  0.5000  0.7500
Pt  0.0000  0.0000  0.0098
Pt  0.0000  0.0000  0.4902
Ta  0.5000  0.5000  0.2500

**Calculated volume**: 16.58 Å³ per atom
**Formation enthalpy at 0 K**: -457 meV per atom
**Symmetry**: Pmmm, No. 47


VCd2SiN | PBE | relaxed

Cell: 4.9293 4.7617 4.9293 Å, 90.00 90.00 90.00°
Site moments in Bohr magnetons follow the coordinates.
Fractional positions:
Si  0.0000  0.0000  0.0000  -0.06
Cd  0.5000  0.0000  0.0000  0.02
Cd  0.0000  0.0000  0.5000  0.01
N  0.5000  0.5000  0.5000  -1.19
V  0.0000  0.5000  0.0000  2.64

**Calculated volume**: 23.14 Å³ per atom
**VASP energy**: -0.2549 Ry per atom
**Symmetry**: P4/mmm, No. 123


CaSmIn4 | PBE | relaxed

Cell: 3.6961 4.9955 8.7026 Å, 90.00 90.03 90.00°
Fractional positions:
In  0.0054  0.5000  0.1674
In  0.9946  0.5000  0.8326
In  0.0069  0.0000  0.6654
In  0.9931  0.0000  0.3346
Ca  0.5000  0.0000  0.0000
Sm  0.5000  0.5000  0.5000

**Calculated volume**: 26.78 Å³ per atom
**Formation enthalpy at 0 K**: -405 meV per atom
**Symmetry**: P2/m, No. 10


Ta2PtS2 | PBE | relaxed

Cell: 7.1811 7.1811 3.0883 Å, 90.00 90.00 90.00°
Fractional positions:
Ta  0.3502  0.8502  0.0000
Ta  0.1498  0.3502  0.0000
Ta  0.8502  0.6498  0.0000
Ta  0.6498  0.1498  0.0000
Pt  0.5000  0.5000  0.0000
Pt  0.0000  0.0000  0.0000
S  0.3617  0.1383  0.5000
S  0.6383  0.8617  0.5000
S  0.8617  0.3617  0.5000
S  0.1383  0.6383  0.5000

**Calculated volume**: 15.93 Å³ per atom
**VASP energy**: -0.5862 Ry per atom
**Symmetry**: P4/mbm, No. 127


Ce2GaRe | PBE | relaxed

Cell: 4.0597 4.5820 4.5820 Å, 90.00 90.00 90.00°
Fractional positions:
Re  0.5000  0.0000  0.0000
Ga  0.5000  0.5000  0.5000
Ce  0.0000  0.0000  0.5000
Ce  0.0000  0.5000  0.0000

**Calculated volume**: 21.31 Å³ per atom
**Formation enthalpy at 0 K**: -105 meV per atom
**Symmetry**: P4/mmm, No. 123


Number 1: DOS(E_F) 6.6 states/eV per cell, ρ 8.777 g/cm³. Number 2: DOS(E_F) 1.6 states/eV per cell, ρ 8.947 g/cm³. Number 3: DOS(E_F) 5.1 states/eV per cell, ρ 7.418 g/cm³. Number 4: DOS(E_F) 7.9 states/eV per cell, ρ 15.916 g/cm³. Number 5: DOS(E_F) 3.5 states/eV per cell, ρ 15.892 g/cm³. Number 6: DOS(E_F) 1.6 states/eV per cell, ρ 19.229 g/cm³. Number 7: DOS(E_F) 3.1 states/eV per cell, ρ 4.562 g/cm³. Number 8: DOS(E_F) 3.0 states/eV per cell, ρ 6.714 g/cm³. Number 9: DOS(E_F) 9.0 states/eV per cell, ρ 12.952 g/cm³. Number 10: DOS(E_F) 5.6 states/eV per cell, ρ 10.446 g/cm³.